(1)
{
  "formula": "Tl4Cd2In",
  "functional": "PBE",
  "state": "relaxed",
  "ef_ev_per_atom": 0.244,
  "e_above_lowest_polymorph_ev_per_atom": 0.214,
  "lattice": [[-0.1460, 5.8536, -0.2163], [-5.7908, -0.1117, 0.8873], [4.1014, -2.5681, 7.0971]],
  "species": ["Tl", "In", "Tl", "Tl", "Tl", "Cd", "Cd"],
  "frac_coords": [[0.2005, 0.2005, 0.4010], [0.0000, 0.0000, 0.0000], [0.5000, 0.0000, 0.0000], [0.0000, 0.5000, 0.0000], [0.7995, 0.7995, 0.5990], [0.3979, 0.3979, 0.7958], [0.6021, 0.6021, 0.2042]]
}

***

(2)
{
  "formula": "Tl17CdIn11",
  "functional": "PBE",
  "state": "relaxed",
  "ef_ev_per_atom": 0.010,
  "lattice": [[9.7828, -0.0390, -3.4484], [-4.8595, 8.4905, -3.4484], [-0.0049, -0.0084, 10.3592]],
  "species": ["In", "In", "Tl", "Tl", "Tl", "In", "Tl", "Tl", "In", "Tl", "Cd", "Tl", "In", "In", "Tl", "Tl", "Tl", "In", "Tl", "Tl", "Tl", "Tl", "In", "In", "In", "Tl", "Tl", "Tl", "In"],
  "frac_coords": [[0.1808, 0.3668, 0.3637], [0.8206, 0.1869, 0.1884], [0.0019, 0.3212, 0.6046], [0.0004, 0.6052, 0.3208], [0.9987, 0.9987, 0.3609], [0.8141, 0.0008, 0.6332], [0.9996, 0.9996, 0.0002], [0.6753, 0.6753, 0.2825], [0.3668, 0.1808, 0.3637], [0.3193, 0.6041, 0.0006], [0.3663, 0.3663, 0.1795], [0.6041, 0.3193, 0.0006], [0.1869, 0.8206, 0.1884], [0.0008, 0.8141, 0.6332], [0.0003, 0.3602, 0.9997], [0.2862, 0.6796, 0.6795], [0.3952, 0.7129, 0.3940], [0.6336, 0.0003, 0.8123], [0.7129, 0.3952, 0.3940], [0.3212, 0.0019, 0.6046], [0.3941, 0.3941, 0.7140], [0.6052, 0.0004, 0.3208], [0.0003, 0.6336, 0.8123], [0.8122, 0.6324, 0.0009], [0.1905, 0.1905, 0.8259], [0.6406, 0.6406, 0.6415], [0.3602, 0.0003, 0.9997], [0.6796, 0.2862, 0.6795], [0.6324, 0.8122, 0.0009]]
}

***

(3)
{
  "formula": "Tl5Cd4In2",
  "functional": "PBE",
  "state": "relaxed",
  "ef_ev_per_atom": 0.071,
  "lattice": [[-3.2164, -0.2352, -0.6461], [0.3124, -8.3141, 1.4713], [-0.7629, 1.7190, 11.5435]],
  "species": ["Cd", "Tl", "In", "In", "Cd", "Tl", "Cd", "Tl", "Tl", "Tl", "Cd"],
  "frac_coords": [[0.9958, 0.3275, 0.9916], [0.5000, 0.0000, 0.0000], [0.7378, 0.6643, 0.4755], [0.2622, 0.3357, 0.5245], [0.3885, 0.2508, 0.7769], [0.8217, 0.9772, 0.6434], [0.6115, 0.7492, 0.2231], [0.1783, 0.0228, 0.3566], [0.1249, 0.4079, 0.2498], [0.8751, 0.5921, 0.7502], [0.0042, 0.6725, 0.0084]]
}